# CsFeCo, optimized geometry, DFT PBE-GGA
# relative energy among the computed polymorphs	14.78	kJ/mol of atoms
# formation energy from the elements	66.9	kJ/mol of atoms
data_CsFeCo
_cell_length_a 3.9824
_cell_length_b 3.9832
_cell_length_c 12.1766
_cell_angle_alpha 85.93
_cell_angle_beta 85.83
_cell_angle_gamma 60.04
_space_group_name_H-M_alt 'P 1'
_space_group_IT_number 1
loop_
_space_group_symop_operation_xyz
'x,y,z'
loop_
_atom_site_label
_atom_site_type_symbol
_atom_site_fract_x
_atom_site_fract_y
_atom_site_fract_z
Cs1 Cs 0.0000 0.0000 0.0000
Cs2 Cs 0.0944 0.0870 0.3949
Fe1 Fe 0.0490 0.0456 0.6975
Fe2 Fe 0.7156 0.7121 0.6975
Co1 Co 0.3691 0.3667 0.7881
Co2 Co 0.3956 0.3910 0.6069